*1*
Crystalline EuHo2Ga at its relaxed geometry, computed with GGA-PBE.

abc: 5.3468 5.3468 5.3468
angles: 60.00 60.00 60.00
With the nearest neighbours (Å) after each atom.
Atoms (fractional coordinates):
1 Ho 0.2499 0.2499 0.2502  4 Ga 3.27, 4 Eu 3.27-3.28
2 Ho 0.7501 0.7501 0.7498  4 Ga 3.27, 4 Eu 3.27-3.28
3 Eu 0.5000 0.5000 0.5000  8 Ho 3.27-3.28
4 Ga 0.0000 0.0000 0.0000  8 Ho 3.27

Values from the calculation:
total magnetization: 7.44 μB per formula unit
SG: Fm-3m (225)

*2*
Crystalline EuHo2Ga at its relaxed geometry, computed with GGA-PBE.

abc: 4.6625 4.8271 4.8271
angles: 90.00 90.00 90.00
With the nearest neighbours (Å) after each atom.
Atoms (fractional coordinates):
1 Ho 0.0000 0.0000 0.5000  4 Eu 3.36, 4 Ga 3.36, 4 Ho 3.41
2 Ho 0.0000 0.5000 0.0000  4 Eu 3.36, 4 Ga 3.36, 4 Ho 3.41
3 Eu 0.5000 0.5000 0.5000  8 Ho 3.36, 4 Ga 3.41
4 Ga 0.5000 0.0000 0.0000  8 Ho 3.36, 4 Eu 3.41

Values from the calculation:
total magnetization: 7.59 μB per formula unit
SG: P4/mmm (123)

Stability, lowest: *1*

*1*
Crystalline EuInGa2 at its relaxed geometry, computed with GGA-PBE.

abc: 4.3553 4.5930 4.5930
angles: 90.00 90.00 90.00
With the nearest neighbours (Å) after each atom.
Atoms (fractional coordinates):
1 Ga 0.0000 0.5000 0.0000  4 Eu 3.16, 4 In 3.16, 4 Ga 3.25
2 Ga 0.0000 0.0000 0.5000  4 In 3.16, 4 Eu 3.16, 4 Ga 3.25
3 In 0.5000 0.0000 0.0000  8 Ga 3.16, 4 Eu 3.25
4 Eu 0.5000 0.5000 0.5000  8 Ga 3.16, 4 In 3.25

Values from the calculation:
total magnetization: 6.99 μB per formula unit
SG: P4/mmm (123)

*2*
Crystalline EuInGa2 at its relaxed geometry, computed with GGA-PBE.

abc: 5.1122 5.1122 5.1122
angles: 60.00 60.00 60.00
With the nearest neighbours (Å) after each atom.
Atoms (fractional coordinates):
1 Ga 0.7500 0.7500 0.7500  4 In 3.13, 4 Eu 3.13
2 Ga 0.2500 0.2500 0.2500  4 In 3.13, 4 Eu 3.13
3 In 0.0000 0.0000 0.0000  8 Ga 3.13
4 Eu 0.5000 0.5000 0.5000  8 Ga 3.13

Values from the calculation:
total magnetization: 6.83 μB per formula unit
SG: Fm-3m (225)

Stability, lowest: *2*

*1*
Crystalline EuIn2Ga at its relaxed geometry, computed with GGA-PBE.

abc: 4.7211 4.7211 6.3479
angles: 68.17 68.17 60.00
With the nearest neighbours (Å) after each atom.
Atoms (fractional coordinates):
1 Eu 0.0000 0.0000 0.0000  6 In 3.31
2 In 0.7758 0.7758 0.6727  3 Ga 2.90
3 In 0.2242 0.2242 0.3273  3 Ga 2.90
4 Ga 0.5000 0.5000 0.5000  6 In 2.90

Values from the calculation:
total magnetization: 7.05 μB per formula unit
SG: R-3m (166)

*2*
Crystalline EuIn2Ga at its relaxed geometry, computed with GGA-PBE.

abc: 5.3103 5.3103 5.3103
angles: 60.00 60.00 60.00
With the nearest neighbours (Å) after each atom.
Atoms (fractional coordinates):
1 In 0.2500 0.2500 0.2500  4 Eu 3.25, 4 Ga 3.25
2 In 0.7500 0.7500 0.7500  4 Ga 3.25, 4 Eu 3.25
3 Eu 0.5000 0.5000 0.5000  8 In 3.25
4 Ga 0.0000 0.0000 0.0000  8 In 3.25

Values from the calculation:
total magnetization: 7.01 μB per formula unit
SG: Fm-3m (225)

*3*
Crystalline EuIn2Ga at its relaxed geometry, computed with GGA-PBE.

abc: 4.7254 4.5911 4.5911
angles: 90.00 90.00 90.00
With the nearest neighbours (Å) after each atom.
Atoms (fractional coordinates):
1 In 0.0000 0.5000 0.0000  4 In 3.25, 4 Eu 3.29, 4 Ga 3.29
2 In 0.0000 0.0000 0.5000  4 In 3.25, 4 Eu 3.29, 4 Ga 3.29
3 Ga 0.5000 0.5000 0.5000  4 Eu 3.25, 8 In 3.29
4 Eu 0.5000 0.0000 0.0000  4 Ga 3.25, 8 In 3.29

Values from the calculation:
total magnetization: 6.99 μB per formula unit
SG: P4/mmm (123)

Stability, lowest: *2*

*1*
Crystalline KEu2Ga at its relaxed geometry, computed with GGA-PBE.

abc: 3.9804 3.9804 12.6217
angles: 80.93 80.93 60.00
With the nearest neighbours (Å) after each atom.
Atoms (fractional coordinates):
1 Eu 0.8912 0.8912 0.3264  3 Ga 3.15
2 Eu 0.1088 0.1088 0.6736  3 Ga 3.15
3 K 0.0000 0.0000 0.0000  6 K 3.98, 2 Eu 4.05
4 Ga 0.5000 0.5000 0.5000  6 Eu 3.15

Values from the calculation:
total magnetization: 14.89 μB per formula unit
SG: R-3m (166)

*2*
Crystalline KEu2Ga at its relaxed geometry, computed with GGA-PBE.

abc: 3.8602 3.8602 10.7512
angles: 90.00 90.00 90.00
With the nearest neighbours (Å) after each atom.
Atoms (fractional coordinates):
1 Ga 0.5000 0.5000 0.0000  8 Eu 3.24
2 K 0.5000 0.5000 0.5000  4 K 3.86
3 Eu 0.0000 0.0000 0.8384  4 Ga 3.24, 1 Eu 3.47
4 Eu 0.0000 0.0000 0.1616  4 Ga 3.24, 1 Eu 3.47

Values from the calculation:
total magnetization: 14.30 μB per formula unit
SG: P4/mmm (123)

Stability, lowest: *1*

*1*
Crystalline LaEu2Ga at its relaxed geometry, computed with GGA-PBE.

abc: 3.7519 3.7519 9.3299
angles: 90.00 90.00 90.00
With the nearest neighbours (Å) after each atom.
Atoms (fractional coordinates):
1 Ga 0.5000 0.5000 0.0000  8 Eu 3.21
2 Eu 0.0000 0.0000 0.8059  4 Ga 3.21
3 Eu 0.0000 0.0000 0.1941  4 Ga 3.21
4 La 0.5000 0.5000 0.5000  4 La 3.75, 8 Eu 3.90

Values from the calculation:
total magnetization: 14.41 μB per formula unit
SG: P4/mmm (123)

*2*
Crystalline LaEu2Ga at its relaxed geometry, computed with GGA-PBE.

abc: 5.1638 4.8829 4.8829
angles: 90.00 90.00 90.00
With the nearest neighbours (Å) after each atom.
Atoms (fractional coordinates):
1 Eu 0.0000 0.5000 0.0000  4 Eu 3.45, 4 La 3.55, 4 Ga 3.55
2 Eu 0.0000 0.0000 0.5000  4 Eu 3.45, 4 La 3.55, 4 Ga 3.55
3 La 0.5000 0.5000 0.5000  4 Ga 3.45, 8 Eu 3.55
4 Ga 0.5000 0.0000 0.0000  4 La 3.45, 8 Eu 3.55

Values from the calculation:
total magnetization: 14.53 μB per formula unit
SG: P4/mmm (123)

*3*
Crystalline LaEu2Ga at its relaxed geometry, computed with GGA-PBE.

abc: 5.5305 5.5305 5.5298
angles: 60.00 60.00 60.00
With the nearest neighbours (Å) after each atom.
Atoms (fractional coordinates):
1 La 0.5000 0.5000 0.5000  8 Eu 3.39
2 Ga 0.0000 0.0000 0.0000  8 Eu 3.38-3.39
3 Eu 0.7501 0.7501 0.7497  4 Ga 3.38-3.39, 4 La 3.39
4 Eu 0.2499 0.2499 0.2503  4 Ga 3.38-3.39, 4 La 3.39

Values from the calculation:
total magnetization: 15.91 μB per formula unit
SG: Fm-3m (225)

Stability, lowest: *3*

*1*
Crystalline Li2EuGa at its relaxed geometry, computed with GGA-PBE.

abc: 4.9197 4.4594 4.4594
angles: 90.00 90.00 90.00
With the nearest neighbours (Å) after each atom.
Atoms (fractional coordinates):
1 Li 0.0000 0.0000 0.5000  4 Li 3.15, 4 Eu 3.32, 4 Ga 3.32
2 Li 0.0000 0.5000 0.0000  4 Li 3.15, 4 Ga 3.32, 4 Eu 3.32
3 Eu 0.5000 0.0000 0.0000  4 Ga 3.15, 8 Li 3.32
4 Ga 0.5000 0.5000 0.5000  4 Eu 3.15, 8 Li 3.32

Values from the calculation:
total magnetization: 8.43 μB per formula unit
SG: P4/mmm (123)

*2*
Crystalline Li2EuGa at its relaxed geometry, computed with GGA-PBE.

abc: 4.8965 4.8965 4.8965
angles: 60.00 60.00 60.00
With the nearest neighbours (Å) after each atom.
Atoms (fractional coordinates):
1 Ga 0.5000 0.5000 0.5000  8 Li 3.00
2 Eu 0.0000 0.0000 0.0000  8 Li 3.00
3 Li 0.2500 0.2500 0.2500  4 Eu 3.00, 4 Ga 3.00
4 Li 0.7500 0.7500 0.7500  4 Ga 3.00, 4 Eu 3.00

Values from the calculation:
total magnetization: 6.95 μB per formula unit
SG: Fm-3m (225)

Stability, lowest: *1*

*1*
Crystalline EuMg2Ga at its relaxed geometry, computed with GGA-PBE.

abc: 5.0927 5.0927 5.0927
angles: 60.00 60.00 60.00
With the nearest neighbours (Å) after each atom.
Atoms (fractional coordinates):
1 Mg 0.2500 0.2500 0.2500  4 Eu 3.12, 4 Ga 3.12
2 Mg 0.7500 0.7500 0.7500  4 Eu 3.12, 4 Ga 3.12
3 Eu 0.0000 0.0000 0.0000  8 Mg 3.12
4 Ga 0.5000 0.5000 0.5000  8 Mg 3.12

Values from the calculation:
total magnetization: 7.11 μB per formula unit
SG: Fm-3m (225)

*2*
Crystalline EuMg2Ga at its relaxed geometry, computed with GGA-PBE.

abc: 4.9331 4.5006 4.5006
angles: 90.00 90.00 90.00
With the nearest neighbours (Å) after each atom.
Atoms (fractional coordinates):
1 Eu 0.5000 0.5000 0.5000  4 Ga 3.18, 8 Mg 3.34
2 Ga 0.5000 0.0000 0.0000  4 Eu 3.18, 8 Mg 3.34
3 Mg 0.0000 0.0000 0.5000  4 Mg 3.18, 4 Ga 3.34, 4 Eu 3.34
4 Mg 0.0000 0.5000 0.0000  4 Mg 3.18, 4 Eu 3.34, 4 Ga 3.34

Values from the calculation:
total magnetization: 7.37 μB per formula unit
SG: P4/mmm (123)

Stability, lowest: *1*

*1*
Crystalline EuMg2Ga at its relaxed geometry, computed with GGA-PBE.

abc: 3.5117 3.5117 8.1956
angles: 90.00 90.00 90.00
With the nearest neighbours (Å) after each atom.
Atoms (fractional coordinates):
1 Ga 0.5000 0.5000 0.0000  8 Mg 2.96
2 Mg 0.0000 0.0000 0.8044  4 Ga 2.96, 1 Mg 3.21
3 Mg 0.0000 0.0000 0.1956  4 Ga 2.96, 1 Mg 3.21
4 Eu 0.5000 0.5000 0.5000  4 Eu 3.51, 8 Mg 3.52

Values from the calculation:
total magnetization: 7.29 μB per formula unit
SG: P4/mmm (123)

*2*
Crystalline EuMg2Ga at its relaxed geometry, computed with GGA-PBE.

abc: 3.2623 3.2623 11.3106
angles: 81.71 81.71 60.00
With the nearest neighbours (Å) after each atom.
Atoms (fractional coordinates):
1 Mg 0.9014 0.9014 0.2957  3 Ga 2.96, 6 Mg 3.26, 1 Eu 3.30
2 Mg 0.0986 0.0986 0.7043  3 Ga 2.96, 6 Mg 3.26, 1 Eu 3.30
3 Ga 0.5000 0.5000 0.5000  6 Mg 2.96, 6 Ga 3.26
4 Eu 0.0000 0.0000 0.0000  6 Eu 3.26, 2 Mg 3.30

Values from the calculation:
total magnetization: 7.78 μB per formula unit
SG: R-3m (166)

Stability, lowest: *2*